An optimized crystal structure of La2ZnOs. Source: Alexandria, functional PBE-GGA.

As for the formation energy: -0.11 eV/atom. The final energy is -5.703 eV per atom.

```
La2ZnOs
1.0
3.551 0.000 0.000
0.000 3.603 0.006
0.000 3.588 7.804
La Os Zn
2 1 1
Direct
0.000 0.977 0.024
0.000 0.523 0.476
0.500 0.250 0.250
0.500 0.750 0.750
```